Record 1
## YGeIr (PBEsol)

Data for a geometry-optimized YGeIr structure.

Results
- total energy (eV/atom) = -8.1709
- magnetic moment (μB/atom) = 0.0000

Lattice parameters (Å, degrees): 4.263 6.806 7.542 90.00 90.00 90.00
Sites, in units of the cell vectors:
Ir  0.750  0.340  0.435
Ir  0.250  0.660  0.565
Ir  0.250  0.160  0.935
Ir  0.750  0.840  0.065
Ge  0.750  0.208  0.111
Ge  0.250  0.292  0.611
Ge  0.250  0.792  0.889
Ge  0.750  0.708  0.389
Y  0.250  0.505  0.191
Y  0.750  0.495  0.809
Y  0.750  0.995  0.691
Y  0.250  0.005  0.309



Record 2
## ZrOs (PBEsol)

Data for a geometry-optimized ZrOs structure.

Results
- total energy (eV/atom) = -10.7588
- magnetic moment (μB/atom) = 0.0000

Lattice parameters (Å, degrees): 4.548 4.548 4.548 60.00 60.00 60.00
Sites, in units of the cell vectors:
Os  0.000  0.000  0.000
Os  0.250  0.250  0.250
Zr  0.750  0.750  0.750
Zr  0.500  0.500  0.500



Record 3
## TlMoSeBr2 (PBEsol)

Data for a geometry-optimized TlMoSeBr2 structure.

Results
- total energy (eV/atom) = -3.4720
- magnetic moment (μB/atom) = 0.9046

Lattice parameters (Å, degrees): 5.366 5.408 5.408 90.00 90.00 90.00
Sites, in units of the cell vectors:
Tl  0.000  0.000  0.000
Br  0.000  0.000  0.500
Br  0.000  0.500  0.000
Mo  0.500  0.500  0.500
Se  0.500  0.000  0.000